Arrangement P

A plane-wave DFT calculation with GGA-PBE was carried out for an optimized crystal structure of La2InCuSe5.

Output
Total moment ... 0.00 Bohr magnetons per cell
Space-group type ... Cmc2_1

a b c (Å): 4.136 9.052 12.212
angles (deg): 90.00 90.00 103.20
Fractional positions:
1 La 0.880 0.760 0.803
2 La 0.120 0.240 0.303
3 La 0.112 0.225 0.686
4 La 0.888 0.775 0.186
5 In 0.810 0.620 0.501
6 In 0.190 0.380 0.001
7 Se 0.496 0.992 0.286
8 Se 0.710 0.421 0.160
9 Se 0.959 0.917 0.561
10 Se 0.648 0.296 0.499
11 Se 0.299 0.597 0.344
12 Se 0.352 0.704 0.999
13 Se 0.290 0.579 0.660
14 Se 0.041 0.083 0.061
15 Se 0.504 0.008 0.786
16 Se 0.701 0.403 0.844
17 Cu 0.496 0.992 0.984
18 Cu 0.504 0.008 0.484

Arrangement Q

A plane-wave DFT calculation with GGA-PBE was carried out for an optimized crystal structure of La2InCuSe5.

Output
Total moment ... 0.00 Bohr magnetons per cell
Space-group type ... Pnma

a b c (Å): 4.140 12.269 17.600
angles (deg): 90.00 90.00 90.00
Fractional positions:
1 Se 0.250 0.182 0.887
2 Se 0.250 0.399 0.577
3 Se 0.750 0.516 0.195
4 Se 0.750 0.818 0.113
5 Se 0.750 0.259 0.729
6 Se 0.750 0.601 0.423
7 Se 0.250 0.484 0.805
8 Se 0.750 0.101 0.077
9 Se 0.750 0.318 0.387
10 Se 0.250 0.393 0.037
11 Se 0.750 0.107 0.537
12 Se 0.250 0.682 0.613
13 Se 0.250 0.741 0.271
14 Se 0.750 0.759 0.771
15 Se 0.250 0.899 0.923
16 Se 0.250 0.241 0.229
17 Se 0.250 0.893 0.463
18 Se 0.750 0.016 0.305
19 Se 0.250 0.984 0.695
20 Se 0.750 0.607 0.963
21 In 0.250 0.190 0.639
22 In 0.250 0.690 0.861
23 In 0.750 0.310 0.139
24 In 0.750 0.810 0.361
25 La 0.750 0.022 0.822
26 La 0.250 0.637 0.094
27 La 0.250 0.978 0.178
28 La 0.750 0.522 0.678
29 La 0.750 0.363 0.906
30 La 0.250 0.478 0.322
31 La 0.250 0.137 0.406
32 La 0.750 0.863 0.594
33 Cu 0.250 0.575 0.498
34 Cu 0.250 0.075 0.002
35 Cu 0.750 0.425 0.502
36 Cu 0.750 0.925 0.998

Which is more stable than every other structure shown? arrangement Q is more stable than every other one.